The following is a DFT calculation (GGA-PBE) of a relaxed DyYCo crystal.

Calculated formation energy in eV/atom: 0.814
Final energy in eV/cell: -62.93
Distance to the lowest polymorph of the same formula in eV/f.u.: 2.29

Lattice parameters (Å, degrees): 6.5932 6.5932 6.5932 90.00 90.00 90.00
Space group F-43m (No. 216)
One atom of each set of equivalent atoms:
Dy 0.0000 0.0000 0.0000 x4
Y 0.2500 0.2500 0.2500 x4
Co 0.2500 0.2500 0.7500 x4